# Ga2Tc2Ag

A geometry-optimized Ga2Tc2Ag structure (PBE, the Alexandria database).

a b c (Å): 7.431 7.431 2.943
angles (deg): 90.00 90.00 90.00
Fractional positions:
Ga (0.182, 0.682, 0.500)
Ga (0.682, 0.818, 0.500)
Ga (0.818, 0.318, 0.500)
Ga (0.318, 0.182, 0.500)
Tc (0.387, 0.887, 0.000)
Tc (0.887, 0.613, 0.000)
Tc (0.613, 0.113, 0.000)
Tc (0.113, 0.387, 0.000)
Ag (0.000, 0.000, 0.000)
Ag (0.500, 0.500, 0.000)

The mass density is 9.06 g cm⁻³. Its space group is No. 127. Its density of states at the Fermi level is 3.63 states/eV/f.u. Its electronic total energy is -5.809 eV/atom. For the formation energy from the elements, the calculation gives 0.118 eV/atom. The value obtained for the energy above the most stable polymorph in this dataset is 0.0 meV/atom.